1.
## Er6ZnPt (PBE)

Data for a geometry-optimized Er6ZnPt structure.

a = 4.9632 Å, b = 4.9632 Å, c = 17.0070 Å
α = 90.00°, β = 90.00°, γ = 90.00°
With the nearest neighbours (Å) after each atom.
Space group I4/mmm (No. 139)
Unique sites:
Er 0.0000 0.0000 0.2473 x4  12 Er 3.51-3.59
Er 0.0000 0.5000 0.1005 x8  2 Pt 3.01, 2 Zn 3.01
Zn 0.0000 0.0000 0.0000 x2  8 Er 3.01
Pt 0.0000 0.0000 0.5000 x2  8 Er 3.01

Spin magnetization = 0.00 μB/f.u.
DOS(E_F) = 9.9 states/eV/f.u.
ΔE_f = -0.3800 eV/atom
E = -4.72 eV/atom

=====

2.
## SbTe2As (PBE)

Data for a geometry-optimized SbTe2As structure.

a = 4.1813 Å, b = 4.5958 Å, c = 13.2748 Å
α = 90.00°, β = 90.00°, γ = 90.00°
With the nearest neighbours (Å) after each atom.
Space group Immm (No. 71)
Unique sites:
Sb 0.0000 0.0000 0.0000 x2  4 As 3.11, 4 Te 3.13
Te 0.0000 0.5000 0.1600 x4  2 As 2.98, 2 Sb 3.13
As 0.0000 0.0000 0.5000 x2  4 Te 2.98, 4 Sb 3.11

Spin magnetization = 0.00 μB/f.u.
DOS(E_F) = 1.3 states/eV/f.u.
E = -3.59 eV/atom
ΔE to the lowest computed polymorph = 118.0 meV per atom
ΔE_f (raw) = 0.173 eV per atom

=====

3.
## Li2SmY2Sn2 (PBE)

Data for a geometry-optimized Li2SmY2Sn2 structure.

a = 4.7974 Å, b = 4.7974 Å, c = 26.9084 Å
α = 90.00°, β = 90.00°, γ = 120.00°
With the nearest neighbours (Å) after each atom.
Space group R-3m (No. 166, hexagonal axes)
Unique sites:
Li 0.0000 0.0000 0.0949 x6  3 Sn 2.77
Sm 0.0000 0.0000 0.5000 x3  6 Sn 3.37, 6 Li 3.38, 2 Y 3.48
Y 0.0000 0.0000 0.3707 x6  3 Li 3.17, 3 Sn 3.17, 3 Y 3.42, 1 Sm 3.48
Sn 0.0000 0.0000 0.2383 x6  3 Li 2.77

Spin magnetization = 0.00 μB/f.u.
DOS(E_F) = 4.5 states/eV/f.u.
ΔE_f = -0.4785 eV/atom
E = -4.69 eV/atom

=====

4.
## Ac6ZnRh4 (PBE)

Data for a geometry-optimized Ac6ZnRh4 structure.

a = 4.3198 Å, b = 14.3068 Å, c = 22.1293 Å
α = 90.00°, β = 90.00°, γ = 90.00°
With the nearest neighbours (Å) after each atom.
Space group Cmcm (No. 63)
Unique sites:
Ac 0.0000 0.0000 0.0000 x4  6 Rh 3.07-3.20
Ac 0.0000 0.1683 0.2500 x4  2 Rh 2.85
Ac 0.0000 0.2697 0.5829 x8  5 Rh 3.00-3.09
Ac 0.0000 0.4607 0.1565 x8  3 Rh 2.87-2.99
Zn 0.0000 0.1543 0.7500 x4  6 Ac 3.33-3.41
Rh 0.0000 0.0986 0.1296 x8  5 Ac 2.85-3.05
Rh 0.0000 0.3627 0.0432 x8  6 Ac 2.87-3.09

Spin magnetization = 0.00 μB/f.u.
DOS(E_F) = 7.5 states/eV/f.u.
ΔE_f = -0.5514 eV/atom
E = -5.58 eV/atom

=====

Computed values of calculated density (unit: Mg/m³) for the preceding records, in sequence: 10.021; 5.883; 5.382; 8.931.